Record 1
LiAg2PtBr6: optimized geometry, PBE.

The calculation puts the electronic total energy at -2.8500 eV per atom. The magnetic moment is 1.0 Bohr magnetons per cell. The space group is P1. The value obtained for the uncorrected formation energy is -0.481 eV/atom.

Lattice parameters (Å, degrees): 7.381 7.117 7.792 54.04 68.31 57.40
Site moments in Bohr magnetons follow the coordinates.
Element x y z (fractional)
1 Br 0.329 0.766 0.778  0.01
2 Br 0.643 0.141 0.270  0.12
3 Br 0.640 0.178 0.768  0.02
4 Br 0.036 0.488 0.753  0.17
5 Br 0.046 0.483 0.248  0.02
6 Br 0.307 0.910 0.230  0.01
7 Ag 0.673 0.486 0.289  0.01
8 Ag 0.997 0.031 0.986  0.01
9 Li 0.661 0.850 0.690  0.01
10 Pt 0.329 0.331 0.003  0.50

---

Record 2
Ba2CaBiH: optimized geometry, PBE.

The calculation puts the electronic total energy at -3.0918 eV per atom. The magnetic moment is 0.0 Bohr magnetons per cell. The space group is P4/mmm.

Lattice parameters (Å, degrees): 5.476 5.476 5.351 90.00 90.00 90.00
Element x y z (fractional)
1 Bi 0.500 0.500 0.500
2 Ba 0.000 0.500 0.000
3 Ba 0.500 0.000 0.000
4 H 0.000 0.000 0.000
5 Ca 0.000 0.000 0.500

---

Record 3
UCoRe2: optimized geometry, PBE.

The calculation puts the electronic total energy at -10.7461 eV per atom. As for the formation energy: 76.4 meV/atom. The magnetic moment is 0.0 Bohr magnetons per cell. The space group is P4/mmm. As for the excess energy over the best structure of this formula in the dataset: 0 meV/atom.

Lattice parameters (Å, degrees): 4.030 3.952 3.952 90.00 90.00 90.00
Element x y z (fractional)
1 Re 0.000 0.500 0.000
2 Re 0.000 0.000 0.500
3 U 0.500 0.000 0.000
4 Co 0.500 0.500 0.500

---

Record 4
InWAu2: optimized geometry, PBE.

The calculation puts the electronic total energy at -5.0936 eV per atom. As for the formation energy: 468.0 meV/atom. The magnetic moment is 0.4 Bohr magnetons per cell. The space group is P4/mmm.

Lattice parameters (Å, degrees): 4.784 4.784 3.213 90.00 90.00 90.00
Site moments in Bohr magnetons follow the coordinates.
Element x y z (fractional)
1 Au 0.500 0.500 0.000  0.01
2 Au 0.000 0.000 0.000  0.01
3 In 0.500 0.000 0.500  -0.01
4 W 0.000 0.500 0.500  0.32

---

Record 5
Hf8Sb2Au: optimized geometry, PBE.

The calculation puts the electronic total energy at -8.3743 eV per atom. The magnetic moment is 0.0 Bohr magnetons per cell. The space group is C2/m. The value obtained for the uncorrected formation energy is -0.088 eV/atom.

Lattice parameters (Å, degrees): 5.390 7.588 7.588 120.16 101.11 101.11
Element x y z (fractional)
1 Hf 0.152 0.317 0.097
2 Hf 0.302 0.597 0.597
3 Hf 0.152 0.097 0.317
4 Hf 0.848 0.683 0.903
5 Hf 0.500 0.777 0.223
6 Hf 0.698 0.403 0.403
7 Hf 0.500 0.223 0.777
8 Hf 0.848 0.903 0.683
9 Au 0.500 0.000 0.000
10 Sb 0.000 0.303 0.697
11 Sb 0.000 0.697 0.303

---

Record 6
Th4Tl5: optimized geometry, PBE.

The calculation puts the electronic total energy at -4.6790 eV per atom. As for the formation energy: -66.7 meV/atom. The magnetic moment is 0.0 Bohr magnetons per cell. The space group is I4/mmm. As for the excess energy over the best structure of this formula in the dataset: 0 meV/atom.

Lattice parameters (Å, degrees): 4.452 8.108 8.108 85.68 74.07 74.07
Element x y z (fractional)
1 Tl 0.327 0.000 0.347
2 Tl 0.673 0.653 0.000
3 Tl 0.673 0.000 0.653
4 Tl 0.000 0.000 0.000
5 Tl 0.327 0.347 0.000
6 Th 0.680 0.320 0.320
7 Th 0.320 0.680 0.680
8 Th 0.000 0.680 0.320
9 Th 0.000 0.320 0.680